Pa3MnN6 | PBE | relaxed

## Properties
E = -10.141 eV per atom
Fermi-level density of states = 4.98 states/eV per cell
formation energy without anion corrections = -1.38 eV/atom

Lattice parameters (Å, degrees): 7.247 7.247 5.460 90.00 90.00 102.43
Positions (direct):
Pa 0.108 0.892 0.500
Pa 0.192 0.417 0.462
Pa 0.417 0.192 0.962
Pa 0.583 0.808 0.462
Pa 0.808 0.583 0.962
Pa 0.892 0.108 0.000
Mn 0.315 0.685 0.925
Mn 0.685 0.315 0.425
N 0.082 0.610 0.742
N 0.144 0.171 0.729
N 0.171 0.144 0.229
N 0.284 0.716 0.279
N 0.390 0.918 0.742
N 0.452 0.548 0.716
N 0.548 0.452 0.216
N 0.610 0.082 0.242
N 0.716 0.284 0.779
N 0.829 0.856 0.729
N 0.856 0.829 0.229
N 0.918 0.390 0.242